[1]
First-principles (GGA-PBEsol) data for a geometry-optimized Mg3ReCl structure, as listed in Alexandria.

Cell and atoms, written as CIF:
```
data_Mg3ReCl
_chemical_formula_sum 'Mg3 Re1 Cl1'
_cell_length_a 5.2051
_cell_length_b 5.2051
_cell_length_c 5.2051
_cell_angle_alpha 90.00
_cell_angle_beta 90.00
_cell_angle_gamma 90.00
_space_group_name_H-M_alt 'P m -3 m'
_space_group_IT_number 221
_space_group_name_Hall '-P 4 2 3'
loop_
_atom_site_label
_atom_site_type_symbol
_atom_site_fract_x
_atom_site_fract_y
_atom_site_fract_z
Mg1 Mg 0.0000 0.0000 0.5000
Re1 Re 0.0000 0.0000 0.0000
Cl1 Cl 0.5000 0.5000 0.5000
```

Calculated values
As for the raw formation energy: 0.93 eV per atom.

***

[2]
First-principles (GGA-PBEsol) data for a geometry-optimized MgReCl2 structure, as listed in Alexandria.

Cell and atoms, written as CIF:
```
data_MgReCl2
_chemical_formula_sum 'Mg3 Re3 Cl6'
_cell_length_a 3.0214
_cell_length_b 3.0214
_cell_length_c 27.6351
_cell_angle_alpha 90.00
_cell_angle_beta 90.00
_cell_angle_gamma 120.00
_space_group_name_H-M_alt 'R -3 m'
_space_group_IT_number 166
_space_group_name_Hall '-R 3 2"'
loop_
_atom_site_label
_atom_site_type_symbol
_atom_site_fract_x
_atom_site_fract_y
_atom_site_fract_z
Mg1 Mg 0.0000 0.0000 0.0000
Re1 Re 0.0000 0.0000 0.5000
Cl1 Cl 0.0000 0.0000 0.2320
```

Calculated values
The energy above the lowest structure with this stoichiometry comes out at 151 meV/atom. As for the raw formation energy: 0.29 eV per atom.

***

[3]
First-principles (GGA-PBEsol) data for a geometry-optimized MgRe2Cl structure, as listed in Alexandria.

Cell and atoms, written as CIF:
```
data_MgRe2Cl
_chemical_formula_sum 'Mg2 Re4 Cl2'
_cell_length_a 5.0156
_cell_length_b 9.5707
_cell_length_c 2.7195
_cell_angle_alpha 90.00
_cell_angle_beta 90.00
_cell_angle_gamma 90.00
_space_group_name_H-M_alt 'C m m m'
_space_group_IT_number 65
_space_group_name_Hall '-C 2 2'
loop_
_atom_site_label
_atom_site_type_symbol
_atom_site_fract_x
_atom_site_fract_y
_atom_site_fract_z
Mg1 Mg 0.0000 0.0000 0.0000
Re1 Re 0.2500 0.2500 0.5000
Cl1 Cl 0.0000 0.5000 0.0000
```

Calculated values
The energy above the lowest structure with this stoichiometry comes out at 0 meV/atom. As for the raw formation energy: 1.00 eV per atom.

***

[4]
First-principles (GGA-PBEsol) data for a geometry-optimized Mg2ReCl structure, as listed in Alexandria.

Cell and atoms, written as CIF:
```
data_Mg2ReCl
_chemical_formula_sum 'Mg2 Re1 Cl1'
_cell_length_a 2.8154
_cell_length_b 4.9872
_cell_length_c 5.0477
_cell_angle_alpha 90.00
_cell_angle_beta 91.85
_cell_angle_gamma 90.00
_space_group_name_H-M_alt 'P 1 m 1'
_space_group_IT_number 6
loop_
_space_group_symop_operation_xyz
'x,y,z'
'x,-y,z'
loop_
_atom_site_label
_atom_site_type_symbol
_atom_site_fract_x
_atom_site_fract_y
_atom_site_fract_z
Mg1 Mg 0.0000 0.0000 0.0000
Mg2 Mg 0.0101 0.5000 0.5849
Re1 Re 0.5040 0.0000 0.5056
Cl1 Cl 0.3469 0.5000 0.0925
```

Calculated values
The energy above the lowest structure with this stoichiometry comes out at 22 meV/atom. As for the raw formation energy: 0.22 eV per atom.

***

What is the raw formation energy in the third record? 1.00 eV per atom